MnCuPb2 SCAN PBEsol geometry; E = -46.0258 eV per atom; formation enthalpy at 0 K = 0.228 eV/atom; space-group type = No. 160
1.0
3.3525 0.0000 0.0000
1.6763 2.9034 0.0000
1.6763 0.9678 8.7930
Cu Pb Mn
1 2 1
direct
0.5109 0.5109 0.4674
0.9868 0.9868 0.0397
0.7666 0.7666 0.7001
0.2358 0.2358 0.2927

Mn3CuPb SCAN PBEsol geometry; E = -28.0525 eV per atom; formation enthalpy at 0 K = 1.097 eV/atom; space-group type = No. 221
1.0
-3.6675 -0.6515 3.3856
3.2813 -2.1768 3.1356
1.0583 4.4916 2.0107
Mn Cu Pb
3 1 1
direct
0.5000 0.0000 0.0000
0.0000 0.0000 0.5000
0.0000 0.5000 0.0000
0.5000 0.5000 0.5000
0.0000 0.0000 0.0000

MnCu2PdW SCAN PBEsol geometry; E = -28.6697 eV per atom; formation enthalpy at 0 K = 1.554 eV/atom; space-group type = No. 123
1.0
4.3170 0.0000 0.0000
0.0000 4.5828 0.0000
0.0000 0.0000 4.5828
W Cu Mn Pd
1 2 1 1
direct
0.0000 0.0000 0.0000
0.0000 0.0000 0.5000
0.0000 0.5000 0.0000
0.5000 0.0000 0.0000
0.5000 0.5000 0.5000

MnCuPt SCAN PBEsol geometry; E = -34.7122 eV per atom; formation enthalpy at 0 K = -0.163 eV/atom; space-group type = No. 216
1.0
-3.7413 0.2249 1.4846
-1.4599 -3.0095 2.2503
-0.5705 0.5339 3.9549
Mn Pt Cu
1 1 1
direct
0.0000 0.0000 0.0000
0.5000 0.5000 0.5000
0.2500 0.2500 0.2500

Mn2CuPt SCAN PBEsol geometry; E = -30.9327 eV per atom; formation enthalpy at 0 K = -0.457 eV/atom; space-group type = No. 123
1.0
2.8407 0.0000 0.0000
0.0000 2.8407 0.0000
0.0000 0.0000 6.6323
Mn Pt Cu
2 1 1
direct
0.0000 0.0000 0.7363
0.0000 0.0000 0.2637
0.5000 0.5000 0.0000
0.5000 0.5000 0.5000

Mn2CuPt SCAN PBEsol geometry; E = -30.8518 eV per atom; formation enthalpy at 0 K = -0.376 eV/atom; space-group type = No. 216
1.0
-0.1283 0.4354 -4.1762
-3.7002 0.1676 -1.9816
-1.3127 3.6121 -1.6959
Pt Mn Cu
1 2 1
direct
0.2500 0.2500 0.2500
0.7500 0.7500 0.7500
0.0000 0.0000 0.0000
0.5000 0.5000 0.5000

Mn2CuPt SCAN PBEsol geometry; E = -30.9531 eV per atom; formation enthalpy at 0 K = -0.477 eV/atom; space-group type = No. 123
1.0
-2.9225 0.8359 1.8285
-1.3893 -3.5829 -0.5826
1.7095 -1.1961 3.2792
Pt Mn Cu
1 2 1
direct
0.5000 0.5000 0.5000
0.0000 0.5000 0.0000
0.0000 0.0000 0.5000
0.5000 0.0000 0.0000

Mn2CuPt SCAN PBEsol geometry; E = -30.9446 eV per atom; formation enthalpy at 0 K = -0.469 eV/atom; space-group type = No. 25
1.0
-0.5508 1.9879 -1.8458
-3.1223 -2.4834 -1.7428
-2.9861 1.7820 2.8104
Pt Mn Cu
1 2 1
direct
0.5000 0.0000 0.5723
0.0000 0.5000 0.6687
0.0000 0.0000 0.0777
0.5000 0.5000 0.1814

Mn2CuPt SCAN PBEsol geometry; E = -30.9277 eV per atom; formation enthalpy at 0 K = -0.452 eV/atom; space-group type = No. 65
1.0
2.7525 0.0000 0.0000
0.0000 4.4906 -0.0567
0.0000 -1.1856 4.3317
Mn Cu Pt
2 1 1
direct
0.0000 0.0000 0.5000
0.0000 0.5000 0.0000
0.5000 0.0000 0.0000
0.5000 0.5000 0.5000

Mn3CuPt SCAN PBEsol geometry; E = -27.5345 eV per atom; formation enthalpy at 0 K = 0.497 eV/atom; space-group type = No. 221
1.0
-0.9811 -4.1942 -2.0600
4.3455 -0.0450 -1.9779
1.7180 -2.2812 3.8265
Mn Cu Pt
3 1 1
direct
0.0000 0.5000 0.0000
0.5000 0.0000 0.0000
0.0000 0.0000 0.5000
0.5000 0.5000 0.5000
0.0000 0.0000 0.0000

MnCuRe SCAN PBEsol geometry; E = -34.7065 eV per atom; formation enthalpy at 0 K = 0.144 eV/atom; space-group type = No. 44
1.0
-0.7421 -0.2191 -2.4549
-3.4895 -0.7619 1.1229
1.2777 4.2130 0.5871
Mn Cu Re
1 1 1
direct
0.6656 0.6656 0.3312
0.0013 0.0013 0.0026
0.3331 0.3331 0.6662

MnCuRe3 SCAN PBEsol geometry; E = -47.5548 eV per atom; formation enthalpy at 0 K = 1.795 eV/atom; space-group type = No. 221
1.0
4.3485 0.0000 0.0000
0.0000 4.3485 0.0000
0.0000 0.0000 4.3485
Cu Re Mn
1 3 1
direct
0.5000 0.5000 0.5000
0.5000 0.0000 0.0000
0.0000 0.0000 0.5000
0.0000 0.5000 0.0000
0.0000 0.0000 0.0000